# FeHg3F8 | Alexandria | PBE+U | relaxed
data_FeHg3F8
_chemical_formula_sum 'Fe1 Hg3 F8'
_space_group_name_H-M_alt 'P m -3 m'
_space_group_IT_number 221
_space_group_name_Hall '-P 4 2 3'
_cell_length_a 5.527
_cell_length_b 5.527
_cell_length_c 5.527
_cell_angle_alpha 90.00
_cell_angle_beta 90.00
_cell_angle_gamma 90.00
loop_
_atom_site_label
_atom_site_type_symbol
_atom_site_fract_x
_atom_site_fract_y
_atom_site_fract_z
Fe1 Fe 0.000 0.000 0.000
Hg1 Hg 0.000 0.500 0.500
F1 F 0.231 0.231 0.231
# - Density of states at the Fermi level: 5.3 states/eV/cell
# - VASP energy: -3.377 eV per atom